DFT (PBE) results for a relaxed structure of LiTl2GaO5.

```
data_LiTl2GaO5
_chemical_formula_sum 'Li4 Tl8 Ga4 O20'
_space_group_name_H-M_alt 'C m c 21'
_space_group_IT_number 36
_space_group_name_Hall 'C 2c -2'
_cell_length_a 3.4010
_cell_length_b 13.3844
_cell_length_c 11.0437
_cell_angle_alpha 90.00
_cell_angle_beta 90.00
_cell_angle_gamma 90.00
loop_
_atom_site_label
_atom_site_type_symbol
_atom_site_fract_x
_atom_site_fract_y
_atom_site_fract_z
_atom_site_occupancy
Li1 Li 0.0000 0.1693 0.0000 1
Tl1 Tl 0.0000 0.0975 0.6058 1
Tl2 Tl 0.0000 0.2072 0.2930 1
Ga1 Ga 0.0000 0.4757 0.3788 1
O1 O 0.0000 0.0189 0.9686 1
O2 O 0.0000 0.2547 0.6549 1
O3 O 0.0000 0.3346 0.4110 1
O4 O 0.0000 0.3733 0.8900 1
O5 O 0.0000 0.4736 0.2060 1
```

Results
E = -4.94 eV per atom
E_form (uncorrected) = -1.1149 eV/atom